## MgP3Se (PBE)

Data for a geometry-optimized MgP3Se structure.

Unit cell a=4.7821 b=4.7821 c=4.7821 alpha=90.00 beta=90.00 gamma=90.00
Last column: nearest neighbours and their distance in Å.
Element x y z (fractional)
Mg: 0.0000 0.0000 0.0000  12 P 3.38
P: 0.0000 0.5000 0.5000  2 Se 2.39
P: 0.5000 0.0000 0.5000  2 Se 2.39
P: 0.5000 0.5000 0.0000  2 Se 2.39
Se: 0.5000 0.5000 0.5000  6 P 2.39

Computed properties:
The calculation puts the uncorrected formation energy at 851.2 meV/atom. The energy above the most stable polymorph in this dataset comes out at 0 meV per atom. As for the symmetry: Pm-3m. The volume is 109 Å³/f.u.


## TmTiPbAu (PBE)

Data for a geometry-optimized TmTiPbAu structure.

Unit cell a=5.0072 b=5.0072 c=5.0072 alpha=60.00 beta=60.00 gamma=60.00
Last column: nearest neighbours and their distance in Å.
Element x y z (fractional)
Tm: 0.0000 0.0000 0.0000  4 Pb 3.07, 4 Au 3.07
Ti: 0.5000 0.5000 0.5000  4 Pb 3.07, 4 Au 3.07
Pb: 0.7500 0.7500 0.7500  4 Tm 3.07, 4 Ti 3.07
Au: 0.2500 0.2500 0.2500  4 Tm 3.07, 4 Ti 3.07

Computed properties:
The calculation puts the formation energy at -0.31 eV/atom. As for the symmetry: F-43m. The volume is 89 Å³/f.u.


## CrInFe2 (PBE)

Data for a geometry-optimized CrInFe2 structure.

Unit cell a=3.0242 b=3.0242 c=6.1347 alpha=90.00 beta=90.00 gamma=90.00
Last column: nearest neighbours and their distance in Å.
Element x y z (fractional)
Cr: 0.0000 0.0000 0.0000  5 Fe 2.46-2.50
In: 0.5000 0.5000 0.6946  6 Fe 2.77-3.08, 4 Cr 2.84, 4 In 3.02
Fe: 0.0000 0.0000 0.4072  4 Fe 2.50, 1 Cr 2.50, 4 In 2.77
Fe: 0.5000 0.5000 0.1972  4 Cr 2.46, 4 Fe 2.50

Computed properties:
The calculation puts the formation energy at 0.25 eV/atom. As for the symmetry: P4mm. The volume is 56 Å³/f.u.


## Ac3Nb2N5O2 (PBE)

Data for a geometry-optimized Ac3Nb2N5O2 structure.

Unit cell a=11.1808 b=11.1808 c=11.1808 alpha=158.72 beta=158.72 gamma=30.28
Last column: nearest neighbours and their distance in Å.
Element x y z (fractional)
Ac: 0.0000 0.0000 0.0000  12 N 2.92-3.02
Ac: 0.1819 0.1819 0.0000  1 O 2.48, 4 N 2.69
Ac: 0.8181 0.8181 0.0000  1 O 2.48, 4 N 2.69
Nb: 0.4066 0.4066 0.0000  5 N 2.02-2.07
Nb: 0.5934 0.5934 0.0000  5 N 2.02-2.07
N: 0.1023 0.6023 0.5000  2 Nb 2.07
N: 0.3977 0.8977 0.5000  2 Nb 2.07
N: 0.5000 0.5000 0.0000  2 Nb 2.02
N: 0.6023 0.1023 0.5000  2 Nb 2.07
N: 0.8977 0.3977 0.5000  2 Nb 2.07
O: 0.2968 0.2968 0.0000  1 Nb 2.37, 1 Ac 2.48
O: 0.7032 0.7032 0.0000  1 Nb 2.37, 1 Ac 2.48

Computed properties:
The calculation puts the uncorrected formation energy at -1721.6 meV/atom. As for the symmetry: I4/mmm. The volume is 184 Å³/f.u.


## LaCe2Al6 (PBE)

Data for a geometry-optimized LaCe2Al6 structure.

Unit cell a=8.0430 b=8.0430 c=3.6355 alpha=90.00 beta=90.00 gamma=120.00
Last column: nearest neighbours and their distance in Å.
Element x y z (fractional)
La: 0.0000 0.0000 0.0000  12 Al 3.26, 2 La 3.64
Ce: 0.3333 0.6667 0.0000  12 Al 3.23
Ce: 0.6667 0.3333 0.0000  12 Al 3.23
Al: 0.0000 0.3362 0.5000  3 Al 2.63-2.70
Al: 0.0000 0.6638 0.5000  3 Al 2.63-2.70
Al: 0.3362 0.0000 0.5000  3 Al 2.63-2.70
Al: 0.3362 0.3362 0.5000  3 Al 2.63-2.70
Al: 0.6638 0.0000 0.5000  3 Al 2.63-2.70
Al: 0.6638 0.6638 0.5000  3 Al 2.63-2.70

Computed properties:
The calculation puts the formation energy at -0.42 eV/atom. As for the symmetry: P6/mmm. The volume is 204 Å³/f.u.


## Sn2Ge2Ir3 (PBE)

Data for a geometry-optimized Sn2Ge2Ir3 structure.

Unit cell a=6.6215 b=6.6215 c=6.2499 alpha=117.49 beta=117.49 gamma=33.56
Last column: nearest neighbours and their distance in Å.
Element x y z (fractional)
Sn: 0.1391 0.1391 0.3154  5 Ir 2.70-2.80
Sn: 0.8609 0.8609 0.6846  5 Ir 2.70-2.80
Ge: 0.4000 0.4000 0.2642  4 Ir 2.48-2.59
Ge: 0.6000 0.6000 0.7358  4 Ir 2.48-2.59
Ir: 0.2379 0.2379 0.8084  3 Ge 2.48-2.59, 1 Sn 2.71
Ir: 0.5000 0.5000 0.0000  2 Ge 2.52, 4 Sn 2.70
Ir: 0.7621 0.7621 0.1916  3 Ge 2.48-2.59, 1 Sn 2.71

Computed properties:
The energy above the most stable polymorph in this dataset comes out at 0 meV per atom. The calculation puts the formation energy at -0.22 eV/atom. As for the symmetry: C2/m. The volume is 133 Å³/f.u.